# 1
DFT (PBE-GGA) results for a geometry-optimized U3CSe3 structure.

Lattice parameters (Å, degrees): 7.0963 7.0963 6.9130 93.30 93.30 111.83
Closest atoms and distances in Å follow each position.
Sites, in units of the cell vectors:
1 U 0.0828 0.0828 0.3551  2 C 2.28-2.34, 1 U 2.51
2 U 0.1595 0.4738 0.8019  1 C 2.20
3 U 0.4738 0.1595 0.8019  1 C 2.20
4 U 0.5262 0.8405 0.1981  1 C 2.20
5 U 0.8405 0.5262 0.1981  1 C 2.20
6 U 0.9172 0.9172 0.6449  2 C 2.28-2.34, 1 U 2.51
7 C 0.2132 0.2132 0.6654  4 U 2.20-2.34
8 C 0.7868 0.7868 0.3346  4 U 2.20-2.34
9 Se 0.1522 0.8478 0.0000  6 U 2.93-3.05
10 Se 0.2338 0.7662 0.5000  6 U 2.96-3.23
11 Se 0.3819 0.3819 0.1596  5 U 2.85-3.09, 1 Se 3.04
12 Se 0.6181 0.6181 0.8404  5 U 2.85-3.09, 1 Se 3.04
13 Se 0.7662 0.2338 0.5000  6 U 2.96-3.23
14 Se 0.8478 0.1522 0.0000  6 U 2.93-3.05

## Properties
symmetry = No. 12
size of the total moment = 6.9 μB/f.u.
uncorrected energy = -0.30748 hartree per atom
energy relative to the elements, uncorrected = -0.718 eV/atom

---

# 2
DFT (PBE-GGA) results for a geometry-optimized Co2CuHg structure.

Lattice parameters (Å, degrees): 3.7365 3.7365 7.8893 90.00 90.00 90.00
Closest atoms and distances in Å follow each position.
Sites, in units of the cell vectors:
1 Co 0.0000 0.5000 0.2500  4 Co 2.64, 4 Hg 2.72, 4 Cu 2.72
2 Co 0.0000 0.5000 0.7500  4 Co 2.64, 4 Hg 2.72, 4 Cu 2.72
3 Co 0.5000 0.0000 0.2500  4 Co 2.64, 4 Hg 2.72, 4 Cu 2.72
4 Co 0.5000 0.0000 0.7500  4 Co 2.64, 4 Hg 2.72, 4 Cu 2.72
5 Cu 0.0000 0.0000 0.0000  4 Hg 2.64, 8 Co 2.72
6 Cu 0.5000 0.5000 0.5000  4 Hg 2.64, 8 Co 2.72
7 Hg 0.0000 0.0000 0.5000  4 Cu 2.64, 8 Co 2.72
8 Hg 0.5000 0.5000 0.0000  4 Cu 2.64, 8 Co 2.72

## Properties
symmetry = No. 139
size of the total moment = 3.2 μB/f.u.
uncorrected energy = -0.15655 hartree per atom

---

# 3
DFT (PBE-GGA) results for a geometry-optimized GdYPb2 structure.

Lattice parameters (Å, degrees): 7.7478 7.7478 7.7478 90.00 90.00 90.00
Closest atoms and distances in Å follow each position.
Sites, in units of the cell vectors:
1 Gd 0.0000 0.0000 0.0000  8 Pb 3.35
2 Gd 0.0000 0.5000 0.5000  8 Pb 3.35
3 Gd 0.5000 0.0000 0.5000  8 Pb 3.35
4 Gd 0.5000 0.5000 0.0000  8 Pb 3.35
5 Y 0.0000 0.0000 0.5000  8 Pb 3.35
6 Y 0.0000 0.5000 0.0000  8 Pb 3.35
7 Y 0.5000 0.0000 0.0000  8 Pb 3.35
8 Y 0.5000 0.5000 0.5000  8 Pb 3.35
9 Pb 0.2500 0.2500 0.2500  4 Gd 3.35, 4 Y 3.35
10 Pb 0.2500 0.2500 0.7500  4 Gd 3.35, 4 Y 3.35
11 Pb 0.2500 0.7500 0.2500  4 Gd 3.35, 4 Y 3.35
12 Pb 0.2500 0.7500 0.7500  4 Y 3.35, 4 Gd 3.35
13 Pb 0.7500 0.2500 0.2500  4 Gd 3.35, 4 Y 3.35
14 Pb 0.7500 0.2500 0.7500  4 Y 3.35, 4 Gd 3.35
15 Pb 0.7500 0.7500 0.2500  4 Y 3.35, 4 Gd 3.35
16 Pb 0.7500 0.7500 0.7500  4 Gd 3.35, 4 Y 3.35

## Properties
symmetry = No. 225
size of the total moment = 7.5 μB/f.u.
uncorrected energy = -0.27237 hartree per atom

---

# 4
DFT (PBE-GGA) results for a geometry-optimized Na6Tl structure.

Lattice parameters (Å, degrees): 8.7357 8.7357 8.7357 90.00 90.00 90.00
Closest atoms and distances in Å follow each position.
Sites, in units of the cell vectors:
1 Na 0.0000 0.2500 0.5000  4 Na 3.09
2 Na 0.0000 0.5000 0.2500  4 Na 3.09
3 Na 0.0000 0.5000 0.7500  4 Na 3.09
4 Na 0.0000 0.7500 0.5000  4 Na 3.09
5 Na 0.2500 0.0000 0.5000  4 Na 3.09
6 Na 0.2500 0.5000 0.0000  4 Na 3.09
7 Na 0.5000 0.0000 0.2500  4 Na 3.09
8 Na 0.5000 0.0000 0.7500  4 Na 3.09
9 Na 0.5000 0.2500 0.0000  4 Na 3.09
10 Na 0.5000 0.7500 0.0000  4 Na 3.09
11 Na 0.7500 0.0000 0.5000  4 Na 3.09
12 Na 0.7500 0.5000 0.0000  4 Na 3.09
13 Tl 0.0000 0.0000 0.0000  24 Na 4.88
14 Tl 0.5000 0.5000 0.5000  24 Na 4.88

## Properties
symmetry = No. 229
size of the total moment = 0.0 μB/f.u.
uncorrected energy = -0.04011 hartree per atom

---

DOS(E_F)? In order: 13.2; 6.1; 4.4; 5.7 states/eV/f.u..